No. 1
BaMnNi2 (PBE, optimized geometry); magnetic moment = 4.65 μB/f.u.; crystal system = tetragonal; ρ = 5.4 g/cm³; formation energy from the elements = 32 kJ per mole of atoms; calculated volume = 95.5 Å³/f.u.
1.0
-2.423 2.423 8.135
2.423 -2.423 8.135
2.423 2.423 -8.135
Ba Mn Ni
2 2 4
direct
0.375 0.625 0.750
0.625 0.375 0.250
0.125 0.875 0.250
0.875 0.125 0.750
0.000 0.000 0.000
0.000 0.000 0.500
0.000 0.500 0.000
0.500 0.000 0.500

***

No. 2
BaMn3Ni (PBE, optimized geometry); magnetic moment = 12.49 μB/f.u.; crystal system = cubic; ρ = 5.4 g/cm³; relative energy among the computed polymorphs = 0 kJ/mol of formula units; formation energy from the elements = 55 kJ per mole of atoms; calculated volume = 110.9 Å³/f.u.
1.0
4.804 0.000 0.000
0.000 4.804 0.000
0.000 0.000 4.804
Ba Mn Ni
1 3 1
direct
0.000 0.000 0.000
0.000 0.500 0.500
0.500 0.000 0.500
0.500 0.500 0.000
0.500 0.500 0.500

***

No. 3
BaMn4Ni (PBE, optimized geometry); magnetic moment = 15.77 μB/f.u.; crystal system = cubic; ρ = 6.1 g/cm³; formation energy from the elements = 75 kJ per mole of atoms; calculated volume = 113.2 Å³/f.u.
1.0
0.000 3.840 3.840
3.840 0.000 3.840
3.840 3.840 0.000
Ba Mn Ni
1 4 1
direct
0.000 0.000 0.000
0.133 0.622 0.622
0.622 0.133 0.622
0.622 0.622 0.133
0.622 0.622 0.622
0.250 0.250 0.250

***

No. 4
BaMnNi2 (PBE, optimized geometry); magnetic moment = 4.81 μB/f.u.; crystal system = tetragonal; ρ = 6.7 g/cm³; formation energy from the elements = 66 kJ per mole of atoms; calculated volume = 76.6 Å³/f.u.
1.0
-2.016 2.016 4.711
2.016 -2.016 4.711
2.016 2.016 -4.711
Ba Mn Ni
1 1 2
direct
0.000 0.000 0.000
0.250 0.750 0.500
0.500 0.500 0.000
0.750 0.250 0.500

***

No. 5
BaMn3Ni (PBE, optimized geometry); magnetic moment = 11.18 μB/f.u.; crystal system = cubic; ρ = 4.7 g/cm³; relative energy among the computed polymorphs = 883 kJ/mol of formula units; formation energy from the elements = 231 kJ per mole of atoms; calculated volume = 126.8 Å³/f.u.
1.0
5.024 0.000 0.000
0.000 5.024 0.000
0.000 0.000 5.024
Ba Mn Ni
1 3 1
direct
0.000 0.000 0.000
0.000 0.000 0.500
0.000 0.500 0.000
0.500 0.000 0.000
0.500 0.500 0.500

***

No. 6
BaMnNi2 (PBE, optimized geometry); magnetic moment = 4.12 μB/f.u.; crystal system = monoclinic; ρ = 6.0 g/cm³; formation energy from the elements = 13 kJ per mole of atoms; calculated volume = 86.2 Å³/f.u.
1.0
3.639 -2.102 0.000
3.639 2.102 0.000
-2.424 0.000 5.633
Ba Mn Ni
1 1 2
direct
0.000 0.000 0.000
0.186 0.186 0.556
0.501 0.501 0.498
0.813 0.813 0.435

***

No. 7
Ba3MnNi (PBE, optimized geometry); magnetic moment = 0.00 μB/f.u.; crystal system = cubic; ρ = 5.0 g/cm³; relative energy among the computed polymorphs = 0 kJ/mol of formula units; formation energy from the elements = 88 kJ per mole of atoms; calculated volume = 176.2 Å³/f.u.
1.0
5.606 0.000 0.000
0.000 5.606 0.000
0.000 0.000 5.606
Ba Mn Ni
3 1 1
direct
0.000 0.000 0.500
0.000 0.500 0.000
0.500 0.000 0.000
0.000 0.000 0.000
0.500 0.500 0.500

***

No. 8
BaMnNi2 (PBE, optimized geometry); magnetic moment = 4.50 μB/f.u.; crystal system = orthorhombic; ρ = 5.8 g/cm³; formation energy from the elements = 47 kJ per mole of atoms; calculated volume = 88.5 Å³/f.u.
1.0
-2.111 2.901 3.612
2.111 -2.901 3.612
2.111 2.901 -3.612
Ba Mn Ni
1 1 2
direct
0.000 0.000 0.000
0.500 0.500 0.000
0.331 0.831 0.500
0.669 0.169 0.500

***

No. 9
BaMnNi3 (PBE, optimized geometry); magnetic moment = 0.76 μB/f.u.; crystal system = cubic; ρ = 5.4 g/cm³; relative energy among the computed polymorphs = 864 kJ/mol of formula units; formation energy from the elements = 234 kJ per mole of atoms; calculated volume = 112.4 Å³/f.u.
1.0
4.827 0.000 0.000
0.000 4.827 0.000
0.000 0.000 4.827
Ba Mn Ni
1 1 3
direct
0.000 0.000 0.000
0.500 0.500 0.500
0.000 0.000 0.500
0.000 0.500 0.000
0.500 0.000 0.000

***

No. 10
BaMnNi2 (PBE, optimized geometry); magnetic moment = 4.43 μB/f.u.; crystal system = orthorhombic; ρ = 6.8 g/cm³; formation energy from the elements = 59 kJ per mole of atoms; calculated volume = 75.9 Å³/f.u.
1.0
3.261 -3.469 0.000
3.261 3.469 0.000
0.000 0.000 3.355
Ba Mn Ni
1 1 2
direct
0.000 0.000 0.000
0.500 0.500 0.000
0.000 0.500 0.500
0.500 0.000 0.500

***

No. 11
BaMnNi2 (PBE, optimized geometry); magnetic moment = 4.48 μB/f.u.; crystal system = tetragonal; ρ = 6.7 g/cm³; formation energy from the elements = 43 kJ per mole of atoms; calculated volume = 76.4 Å³/f.u.
1.0
3.241 0.000 0.000
0.000 3.241 0.000
0.000 0.000 7.271
Ba Mn Ni
1 1 2
direct
0.000 0.000 0.000
0.500 0.500 0.376
0.000 0.000 0.531
0.500 0.500 0.694

***

No. 12
BaMnNi2 (PBE, optimized geometry); magnetic moment = 4.50 μB/f.u.; crystal system = tetragonal; ρ = 6.9 g/cm³; formation energy from the elements = 31 kJ per mole of atoms; calculated volume = 74.8 Å³/f.u.
1.0
3.250 0.000 0.000
0.000 3.250 0.000
0.000 0.000 7.078
Ba Mn Ni
1 1 2
direct
0.000 0.000 0.000
0.000 0.000 0.500
0.500 0.500 0.330
0.500 0.500 0.670

***

No. 13
BaMnNi3 (PBE, optimized geometry); magnetic moment = 0.00 μB/f.u.; crystal system = cubic; ρ = 6.6 g/cm³; relative energy among the computed polymorphs = 0 kJ/mol of formula units; formation energy from the elements = 61 kJ per mole of atoms; calculated volume = 92.7 Å³/f.u.
1.0
4.525 0.000 0.000
0.000 4.525 0.000
0.000 0.000 4.525
Ba Mn Ni
1 1 3
direct
0.000 0.000 0.000
0.500 0.500 0.500
0.000 0.500 0.500
0.500 0.000 0.500
0.500 0.500 0.000

***

No. 14
BaMnNiP2 (PBE, optimized geometry); magnetic moment = 0.00 μB/f.u.; crystal system = tetragonal; ρ = 5.6 g/cm³; formation energy from the elements = -77 kJ per mole of atoms; calculated volume = 92.1 Å³/f.u.
1.0
-1.901 1.901 6.371
1.901 -1.901 6.371
1.901 1.901 -6.371
Ba Mn Ni P
1 1 1 2
direct
0.000 0.000 0.000
0.750 0.250 0.500
0.250 0.750 0.500
0.344 0.344 0.000
0.656 0.656 0.000

***

No. 15
BaMnNi2Rh (PBE, optimized geometry); magnetic moment = 4.16 μB/f.u.; crystal system = tetragonal; ρ = 6.9 g/cm³; formation energy from the elements = 44 kJ per mole of atoms; calculated volume = 99.7 Å³/f.u.
1.0
4.615 0.000 0.000
0.000 4.615 0.000
0.000 0.000 4.681
Ba Mn Ni Rh
1 1 2 1
direct
0.000 0.000 0.000
0.500 0.500 0.500
0.000 0.500 0.500
0.500 0.000 0.500
0.500 0.500 0.000

***

No. 16
BaMn2NiSe8 (PBE, optimized geometry); magnetic moment = 0.79 μB/f.u.; ΔE_f (raw) = -0.438 eV/atom; crystal system = trigonal; ρ = 5.5 g/cm³; calculated volume = 283.3 Å³/f.u.
1.0
6.062 0.000 0.000
-3.031 5.250 0.000
0.000 0.000 8.901
Ba Mn Ni Se
1 2 1 8
direct
0.000 0.000 0.000
0.333 0.667 0.749
0.667 0.333 0.251
0.000 0.000 0.500
0.007 0.672 0.342
0.328 0.336 0.342
0.333 0.667 0.997
0.336 0.007 0.658
0.664 0.993 0.342
0.667 0.333 0.003
0.672 0.664 0.658
0.993 0.328 0.658

***

No. 17
BaSr2MnNi (PBE, optimized geometry); magnetic moment = 4.13 μB/f.u.; crystal system = tetragonal; ρ = 4.1 g/cm³; formation energy from the elements = 28 kJ per mole of atoms; calculated volume = 174.6 Å³/f.u.
1.0
5.891 0.000 0.000
0.000 5.891 0.000
0.000 0.000 5.031
Ba Sr Mn Ni
1 2 1 1
direct
0.000 0.000 0.000
0.000 0.500 0.500
0.500 0.000 0.500
0.500 0.500 0.000
0.500 0.500 0.500

***

No. 18
BaYMn2Ni (PBE, optimized geometry); magnetic moment = 8.51 μB/f.u.; crystal system = tetragonal; ρ = 5.0 g/cm³; formation energy from the elements = 67 kJ per mole of atoms; calculated volume = 130.3 Å³/f.u.
1.0
4.940 0.000 0.000
0.000 4.940 0.000
0.000 0.000 5.341
Ba Y Mn Ni
1 1 2 1
direct
0.000 0.000 0.000
0.500 0.500 0.000
0.000 0.500 0.500
0.500 0.000 0.500
0.000 0.000 0.500